Computed, not measured: crystalline LaPm12Nd3 at its relaxed geometry at the PBE level of DFT.

- Total energy: -0.349 Ry/atom
- Formation enthalpy at 0 K: 0.01 eV per atom
- Total magnetic moment: 0.00 μB per formula unit
- Symmetry: P4/mmm

abc: 5.181 5.181 20.705
angles: 90.00 90.00 90.00
Element x y z (fractional)
Pm: 0.500 0.000 0.625
Pm: 0.500 0.000 0.375
Pm: 0.000 0.500 0.625
Nd: 0.000 0.000 0.500
Pm: 0.000 0.500 0.126
Nd: 0.000 0.000 0.250
Pm: 0.500 0.500 0.251
Pm: 0.500 0.500 0.749
Pm: 0.000 0.500 0.874
Pm: 0.000 0.500 0.375
Nd: 0.000 0.000 0.750
Pm: 0.500 0.500 0.000
Pm: 0.500 0.000 0.874
La: 0.000 0.000 0.000
Pm: 0.500 0.500 0.500
Pm: 0.500 0.000 0.126

---

Computed, not measured: crystalline La5Pm3Nd3 at its relaxed geometry at the PBE level of DFT.

- Total energy: -0.307 Ry/atom
- Formation enthalpy at 0 K: 0.66 eV per atom
- Total magnetic moment: 0.00 μB per formula unit
- Symmetry: P-62m
- Energy above the lowest structure with this stoichiometry: 0.3851 eV per atom

abc: 5.751 9.778 9.778
angles: 120.00 90.00 90.00
Element x y z (fractional)
Nd: 0.500 0.632 0.632
La: 0.500 0.729 0.000
La: 0.500 0.000 0.729
La: 0.500 0.271 0.271
La: 0.500 0.667 0.333
La: 0.500 0.333 0.667
Nd: 0.500 0.368 0.000
Nd: 0.500 0.000 0.368
Pm: 0.000 0.465 0.000
Pm: 0.000 0.000 0.465
Pm: 0.000 0.535 0.535

---

Computed, not measured: crystalline La4Pm5Nd4 at its relaxed geometry at the PBE level of DFT.

- Total energy: -0.352 Ry/atom
- Formation enthalpy at 0 K: 0.02 eV per atom
- Total magnetic moment: 0.00 μB per formula unit
- Symmetry: I4/m

abc: 5.211 9.779 9.779
angles: 85.93 74.55 74.55
Element x y z (fractional)
La: 0.847 0.924 0.383
Nd: 0.614 0.308 0.464
La: 0.153 0.076 0.617
Pm: 0.538 0.770 0.154
Pm: 0.308 0.154 0.230
Pm: 0.692 0.846 0.770
La: 0.771 0.383 0.076
Pm: 0.462 0.230 0.846
Nd: 0.386 0.692 0.536
Pm: 0.000 0.000 0.000
Nd: 0.078 0.536 0.308
Nd: 0.922 0.464 0.692
La: 0.229 0.617 0.924

---

Computed, not measured: crystalline La4PmNd2 at its relaxed geometry at the PBE level of DFT.

- Total energy: -0.343 Ry/atom
- Formation enthalpy at 0 K: 0.19 eV per atom
- Total magnetic moment: 0.00 μB per formula unit
- Symmetry: Imma
- Energy above the lowest structure with this stoichiometry: 0.0327 eV per atom

abc: 7.002 9.241 9.241
angles: 79.28 67.74 67.74
Element x y z (fractional)
La: 0.854 0.147 0.145
La: 0.776 0.756 0.256
Pm: 0.000 0.500 0.000
Nd: 0.719 0.031 0.531
Nd: 0.500 0.000 0.000
La: 0.224 0.244 0.744
La: 0.146 0.355 0.353
La: 0.854 0.645 0.647
La: 0.787 0.244 0.744
La: 0.146 0.853 0.855
Nd: 0.281 0.969 0.469
Nd: 0.500 0.500 0.500
La: 0.213 0.756 0.256
Pm: 0.500 0.500 0.000